[1]
VASP calculation (PBE) on a relaxed structure of Ba3NaSb2O.

Properties
VASP energy = -4.17 eV per atom
D(E_F) = 6.99 states/eV per cell

abc: 9.668 9.668 9.668
angles: 150.09 147.82 44.51
Positions (direct):
Ba  0.000  0.000  0.000
Ba  0.343  0.843  0.500
Ba  0.657  0.157  0.500
Na  0.500  0.500  0.000
Sb  0.140  0.640  0.500
Sb  0.860  0.360  0.500
O  0.500  0.000  0.500

***

[2]
VASP calculation (PBE) on a relaxed structure of La2TmPdO5.

Properties
VASP energy = -7.31 eV per atom

abc: 6.675 6.675 5.910
angles: 90.00 90.00 90.00
Positions (direct):
La  0.162  0.338  0.000
La  0.338  0.838  0.000
La  0.662  0.162  0.000
La  0.838  0.662  0.000
Tm  0.000  0.000  0.500
Tm  0.500  0.500  0.500
Pd  0.000  0.500  0.500
Pd  0.500  0.000  0.500
O  0.000  0.000  0.000
O  0.174  0.674  0.272
O  0.174  0.674  0.728
O  0.326  0.174  0.272
O  0.326  0.174  0.728
O  0.500  0.500  0.000
O  0.674  0.826  0.272
O  0.674  0.826  0.728
O  0.826  0.326  0.272
O  0.826  0.326  0.728

***

[3]
VASP calculation (PBE) on a relaxed structure of TaBeCd2.

Properties
ΔH_f (0 K) = 0.504 eV per atom
D(E_F) = 2.80 states/eV per cell

abc: 5.338 5.338 2.810
angles: 90.00 90.00 116.64
Positions (direct):
Ta  0.000  0.000  0.000
Be  0.500  0.500  0.000
Cd  0.000  0.500  0.500
Cd  0.500  0.000  0.500

***

[4]
VASP calculation (PBE) on a relaxed structure of IrSe2Cl.

Properties
D(E_F) = 4.43 states/eV per cell
energy above the lowest structure with this stoichiometry = 257.3 kJ/mol of formula units

abc: 3.071 3.071 11.134
angles: 90.00 90.00 122.74
Positions (direct):
Ir  0.000  0.000  0.000
Se  0.000  0.000  0.473
Se  0.500  0.500  0.177
Cl  0.500  0.500  0.824

***

[5]
VASP calculation (PBE) on a relaxed structure of AcCuIr2O8.

Properties
VASP energy = -6.40 eV per atom
D(E_F) = 10.26 states/eV per cell

abc: 7.461 7.461 7.461
angles: 40.16 40.16 40.16
Positions (direct):
Ac  0.000  0.000  0.000
Cu  0.500  0.500  0.500
Ir  0.227  0.227  0.227
Ir  0.773  0.773  0.773
O  0.127  0.793  0.409
O  0.207  0.591  0.873
O  0.320  0.320  0.320
O  0.409  0.127  0.793
O  0.591  0.873  0.207
O  0.680  0.680  0.680
O  0.793  0.409  0.127
O  0.873  0.207  0.591

***

[6]
VASP calculation (PBE) on a relaxed structure of Nd2Er4MgSc.

Properties
ΔH_f (0 K) = 0.042 eV per atom
D(E_F) = 12.85 states/eV per cell

abc: 4.920 4.944 9.902
angles: 90.00 90.00 90.00
Positions (direct):
Nd  0.000  0.000  0.000
Nd  0.500  0.500  0.500
Er  0.000  0.500  0.245
Er  0.000  0.500  0.755
Er  0.500  0.000  0.246
Er  0.500  0.000  0.754
Mg  0.000  0.000  0.500
Sc  0.500  0.500  0.000

***

[7]
VASP calculation (PBE) on a relaxed structure of Er4ScCd3.

Properties
ΔH_f (0 K) = -0.183 eV per atom
D(E_F) = 9.48 states/eV per cell

abc: 9.247 9.247 9.247
angles: 33.05 33.05 33.05
Positions (direct):
Er  0.119  0.119  0.119
Er  0.373  0.373  0.373
Er  0.627  0.627  0.627
Er  0.881  0.881  0.881
Sc  0.500  0.500  0.500
Cd  0.000  0.000  0.000
Cd  0.242  0.242  0.242
Cd  0.758  0.758  0.758

***

[8]
VASP calculation (PBE) on a relaxed structure of Cs2UCdS4.

Properties
VASP energy = -4.84 eV per atom
D(E_F) = 14.44 states/eV per cell

abc: 14.868 13.253 8.161
angles: 84.38 62.51 33.11
Positions (direct):
Cs  0.055  0.055  0.695
Cs  0.305  0.305  0.945
Cs  0.695  0.695  0.055
Cs  0.945  0.945  0.305
U  0.125  0.125  0.125
U  0.875  0.875  0.875
Cd  0.375  0.375  0.375
Cd  0.625  0.625  0.625
S  0.032  0.321  0.418
S  0.270  0.582  0.679
S  0.321  0.032  0.730
S  0.418  0.730  0.032
S  0.582  0.270  0.968
S  0.679  0.968  0.270
S  0.730  0.418  0.321
S  0.968  0.679  0.582

***

[9]
VASP calculation (PBE) on a relaxed structure of Ca5Ac2La12.

Properties
ΔH_f (0 K) = 0.114 eV per atom
D(E_F) = 31.59 states/eV per cell

abc: 11.290 11.290 6.462
angles: 99.56 99.56 66.99
Positions (direct):
Ca  0.000  0.000  0.000
Ca  0.227  0.227  0.065
Ca  0.331  0.331  0.638
Ca  0.669  0.669  0.362
Ca  0.773  0.773  0.935
Ac  0.238  0.762  0.500
Ac  0.762  0.238  0.500
La  0.053  0.556  0.316
La  0.116  0.116  0.520
La  0.140  0.646  0.902
La  0.354  0.860  0.098
La  0.444  0.947  0.684
La  0.453  0.453  0.226
La  0.547  0.547  0.774
La  0.556  0.053  0.316
La  0.646  0.140  0.902
La  0.860  0.354  0.098
La  0.884  0.884  0.480
La  0.947  0.444  0.684

***

[10]
VASP calculation (PBE) on a relaxed structure of LuAlAu.

Properties
ΔH_f (0 K) = -0.608 eV per atom
D(E_F) = 4.84 states/eV per cell

abc: 4.601 4.601 4.601
angles: 60.00 60.00 60.00
Positions (direct):
Lu  0.000  0.000  0.000
Al  0.500  0.500  0.500
Au  0.750  0.750  0.750

***

[11]
VASP calculation (PBE) on a relaxed structure of Ni2SI.

Properties
D(E_F) = 4.71 states/eV per cell
energy above the lowest structure with this stoichiometry = 3.1 kJ/mol of formula units

abc: 6.731 6.731 6.731
angles: 32.31 32.31 32.31
Positions (direct):
Ni  0.133  0.133  0.133
Ni  0.867  0.867  0.867
S  0.500  0.500  0.500
I  0.000  0.000  0.000

***

[12]
VASP calculation (PBE) on a relaxed structure of HfPaIn2.

Properties
ΔH_f (0 K) = -0.008 eV per atom
D(E_F) = 4.76 states/eV per cell
energy above the lowest structure with this stoichiometry = 27.5 kJ/mol of formula units

abc: 4.519 4.519 4.692
angles: 90.00 90.00 90.00
Positions (direct):
Hf  0.000  0.000  0.000
Pa  0.500  0.500  0.000
In  0.000  0.500  0.500
In  0.500  0.000  0.500